[1]
DFT (SCAN) results for a PBEsol-optimized structure of Hg3S2Br2.

Cell and atoms, written as CIF:
```
data_Hg3S2Br2
_space_group_name_H-M_alt 'C 1 2/m 1'
_space_group_IT_number 12
_space_group_name_Hall '-C 2y'
_cell_length_a 17.171
_cell_length_b 9.263
_cell_length_c 9.594
_cell_angle_alpha 90.00
_cell_angle_beta 90.61
_cell_angle_gamma 90.00
loop_
_atom_site_label
_atom_site_type_symbol
_atom_site_fract_x
_atom_site_fract_y
_atom_site_fract_z
_atom_site_occupancy
Hg1 Hg 0.000 0.236 0.000 1
Hg2 Hg 0.027 0.500 0.269 1
Hg3 Hg 0.123 0.225 0.700 1
Hg4 Hg 0.229 0.000 0.284 1
Hg5 Hg 0.250 0.250 0.000 1
S1 S 0.016 0.242 0.250 1
S2 S 0.238 0.257 0.251 1
Br1 Br 0.115 0.000 0.503 1
Br2 Br 0.125 0.500 0.522 1
Br3 Br 0.125 0.500 0.987 1
Br4 Br 0.126 0.000 0.977 1
```

Summary:
Uncorrected formation energy in eV/atom: -0.343
E in eV/f.u.: -265.1

[2]
DFT (SCAN) results for a PBEsol-optimized structure of ZrHg3S2Br6.

Cell and atoms, written as CIF:
```
data_ZrHg3S2Br6
_space_group_name_H-M_alt 'P 1 21/c 1'
_space_group_IT_number 14
_space_group_name_Hall '-P 2ybc'
_cell_length_a 6.910
_cell_length_b 7.440
_cell_length_c 13.317
_cell_angle_alpha 90.00
_cell_angle_beta 91.14
_cell_angle_gamma 90.00
loop_
_atom_site_label
_atom_site_type_symbol
_atom_site_fract_x
_atom_site_fract_y
_atom_site_fract_z
_atom_site_occupancy
Zr1 Zr 0.000 0.000 0.000 1
Hg1 Hg 0.492 0.201 0.240 1
Hg2 Hg 0.500 0.000 0.500 1
S1 S 0.352 0.541 0.833 1
Br1 Br 0.132 0.192 0.564 1
Br2 Br 0.151 0.046 0.824 1
Br3 Br 0.325 0.648 0.563 1
```

Summary:
Uncorrected formation energy in eV/atom: -0.845
E in eV/f.u.: -381.3

[3]
DFT (SCAN) results for a PBEsol-optimized structure of HgSbBr2.

Cell and atoms, written as CIF:
```
data_HgSbBr2
_space_group_name_H-M_alt 'I m m 2'
_space_group_IT_number 44
_space_group_name_Hall 'I 2 -2'
_cell_length_a 3.479
_cell_length_b 4.961
_cell_length_c 12.916
_cell_angle_alpha 90.00
_cell_angle_beta 90.00
_cell_angle_gamma 90.00
loop_
_atom_site_label
_atom_site_type_symbol
_atom_site_fract_x
_atom_site_fract_y
_atom_site_fract_z
_atom_site_occupancy
Hg1 Hg 0.000 0.000 0.000 1
Sb1 Sb 0.000 0.500 0.697 1
Br1 Br 0.000 0.000 0.387 1
Br2 Br 0.000 0.500 0.188 1
```

Summary:
Uncorrected formation energy in eV/atom: -0.070
E in eV/f.u.: -144.6
Distance to the lowest polymorph of the same formula in eV per formula unit: 0.00

[4]
DFT (SCAN) results for a PBEsol-optimized structure of Hg2SbBr.

Cell and atoms, written as CIF:
```
data_Hg2SbBr
_space_group_name_H-M_alt 'I -4 2 d'
_space_group_IT_number 122
_space_group_name_Hall 'I -4 2bw'
_cell_length_a 6.327
_cell_length_b 6.327
_cell_length_c 13.925
_cell_angle_alpha 90.00
_cell_angle_beta 90.00
_cell_angle_gamma 90.00
loop_
_atom_site_label
_atom_site_type_symbol
_atom_site_fract_x
_atom_site_fract_y
_atom_site_fract_z
_atom_site_occupancy
Hg1 Hg 0.211 0.250 0.125 1
Sb1 Sb 0.000 0.000 0.000 1
Br1 Br 0.000 0.000 0.500 1
```

Summary:
Uncorrected formation energy in eV/atom: -0.182
E in eV/f.u.: -193.8

[5]
DFT (SCAN) results for a PBEsol-optimized structure of HgSbBr2.

Cell and atoms, written as CIF:
```
data_HgSbBr2
_space_group_name_H-M_alt 'I 4/m m m'
_space_group_IT_number 139
_space_group_name_Hall '-I 4 2'
_cell_length_a 5.211
_cell_length_b 5.211
_cell_length_c 7.385
_cell_angle_alpha 90.00
_cell_angle_beta 90.00
_cell_angle_gamma 90.00
loop_
_atom_site_label
_atom_site_type_symbol
_atom_site_fract_x
_atom_site_fract_y
_atom_site_fract_z
_atom_site_occupancy
Hg1 Hg 0.000 0.000 0.000 1
Sb1 Sb 0.000 0.000 0.500 1
Br1 Br 0.000 0.500 0.250 1
```

Summary:
Uncorrected formation energy in eV/atom: 0.140
E in eV/f.u.: -143.8
Distance to the lowest polymorph of the same formula in eV per formula unit: 0.84

[6]
DFT (SCAN) results for a PBEsol-optimized structure of HgSbBr4.

Cell and atoms, written as CIF:
```
data_HgSbBr4
_space_group_name_H-M_alt 'F -4 3 m'
_space_group_IT_number 216
_space_group_name_Hall 'F -4 2 3'
_cell_length_a 8.624
_cell_length_b 8.624
_cell_length_c 8.624
_cell_angle_alpha 90.00
_cell_angle_beta 90.00
_cell_angle_gamma 90.00
loop_
_atom_site_label
_atom_site_type_symbol
_atom_site_fract_x
_atom_site_fract_y
_atom_site_fract_z
_atom_site_occupancy
Hg1 Hg 0.000 0.000 0.000 1
Sb1 Sb 0.250 0.250 0.750 1
Br1 Br 0.125 0.125 0.375 1
```

Summary:
Uncorrected formation energy in eV/atom: 0.630
E in eV/f.u.: -179.5

[7]
DFT (SCAN) results for a PBEsol-optimized structure of HgSbBr2.

Cell and atoms, written as CIF:
```
data_HgSbBr2
_space_group_name_H-M_alt 'P 4/m m m'
_space_group_IT_number 123
_space_group_name_Hall '-P 4 2'
_cell_length_a 5.161
_cell_length_b 5.161
_cell_length_c 3.795
_cell_angle_alpha 90.00
_cell_angle_beta 90.00
_cell_angle_gamma 90.00
loop_
_atom_site_label
_atom_site_type_symbol
_atom_site_fract_x
_atom_site_fract_y
_atom_site_fract_z
_atom_site_occupancy
Hg1 Hg 0.000 0.000 0.000 1
Sb1 Sb 0.500 0.500 0.000 1
Br1 Br 0.000 0.500 0.500 1
```

Summary:
Uncorrected formation energy in eV/atom: 0.144
E in eV/f.u.: -143.8
Distance to the lowest polymorph of the same formula in eV per formula unit: 0.85

[8]
DFT (SCAN) results for a PBEsol-optimized structure of Hg2SbTeBr.

Cell and atoms, written as CIF:
```
data_Hg2SbTeBr
_space_group_name_H-M_alt 'P 4/m m m'
_space_group_IT_number 123
_space_group_name_Hall '-P 4 2'
_cell_length_a 5.275
_cell_length_b 5.275
_cell_length_c 5.823
_cell_angle_alpha 90.00
_cell_angle_beta 90.00
_cell_angle_gamma 90.00
loop_
_atom_site_label
_atom_site_type_symbol
_atom_site_fract_x
_atom_site_fract_y
_atom_site_fract_z
_atom_site_occupancy
Hg1 Hg 0.000 0.500 0.000 1
Sb1 Sb 0.000 0.000 0.500 1
Te1 Te 0.500 0.500 0.500 1
Br1 Br 0.000 0.000 0.000 1
```

Summary:
Uncorrected formation energy in eV/atom: 0.635
E in eV/f.u.: -227.1